Entry 1:
Compound: Nd2W3N8
Source: Alexandria
Functional: GGA-PBE
Structure: relaxed

Properties
energy	-9.510	eV per atom

Lattice parameters (Å, degrees): 5.188 6.369 6.674 118.50 108.39 90.00
Fractional positions:
N: 0.395 0.886 0.208
N: 0.905 0.101 0.202
N: 0.053 0.399 0.798
N: 0.605 0.678 0.792
N: 0.947 0.601 0.202
N: 0.395 0.322 0.208
N: 0.605 0.114 0.792
N: 0.095 0.899 0.798
W: 0.000 0.727 0.000
W: 0.000 0.273 0.000
W: 0.500 0.000 0.000
Nd: 0.341 0.270 0.539
Nd: 0.659 0.730 0.461

***

Entry 2:
Compound: Sr2TlCd3Hg4
Source: Alexandria
Functional: GGA-PBE
Structure: relaxed

Properties
energy	-1.234	eV per atom

Lattice parameters (Å, degrees): 4.717 4.717 12.803 90.00 90.00 90.00
Fractional positions:
Hg: 0.000 0.500 0.354
Hg: 0.500 0.500 0.000
Hg: 0.000 0.000 0.000
Hg: 0.500 0.000 0.646
Sr: 0.500 0.000 0.246
Sr: 0.000 0.500 0.754
Cd: 0.500 0.000 0.865
Cd: 0.000 0.000 0.500
Cd: 0.000 0.500 0.135
Tl: 0.500 0.500 0.500